(1)
! PBE-GGA Pr12NdY7, optimized geometry; values from VASP
! Excess energy over the best structure of this formula in the dataset   0.531 eV per atom
! Formation energy   65.25 kJ per mole of atoms
! Theoretical density   5.10 g cm⁻³
&SYSTEM
  ibrav = 0, nat = 20, ntyp = 3
/
ATOMIC_SPECIES
Pr 140.91 Pr.upf
Nd 144.24 Nd.upf
Y 88.91 Y.upf
CELL_PARAMETERS angstrom
-3.0211 -2.3995 -9.3666
3.8458 -8.2122 4.5153
-7.9146 3.3925 5.3356
ATOMIC_POSITIONS angstrom
Pr -4.5402 -4.7725 2.7344
Pr -2.1442 -7.6640 -4.6354
Pr -2.5497 -2.4467 -2.2502
Pr -4.9457 0.4447 5.1196
Pr -4.2633 -0.9470 -5.6387
Pr -6.2638 -3.3166 -0.7955
Pr -2.8265 -6.2722 6.1229
Pr -0.8261 -3.9026 1.2797
Pr -3.2837 -6.2555 -0.9767
Pr -3.8062 -0.9637 1.4610
Pr -9.1827 -0.4755 -0.5209
Pr 2.0929 -6.7437 1.0051
Nd 0.0000 0.0000 0.0000
Y 0.4124 -5.3059 -2.4257
Y -2.0344 -2.4098 4.9254
Y -5.4678 0.4965 -2.0155
Y -3.5449 -3.6096 0.2421
Y -3.9573 1.6963 2.6678
Y -1.5105 -1.1998 -4.6833
Y 1.9229 -4.1061 2.2576

=====

(2)
! PBE-GGA Pr3Nd2Y6, optimized geometry; values from VASP
! Excess energy over the best structure of this formula in the dataset   0.174 eV per atom
! Formation energy   17.74 kJ per mole of atoms
! Theoretical density   5.26 g cm⁻³
&SYSTEM
  ibrav = 0, nat = 11, ntyp = 3
/
ATOMIC_SPECIES
Pr 140.91 Pr.upf
Nd 144.24 Nd.upf
Y 88.91 Y.upf
CELL_PARAMETERS angstrom
5.9852 0.0000 1.7874
2.9926 5.4212 0.8937
-1.3091 0.0000 11.7081
ATOMIC_POSITIONS angstrom
Pr 0.0000 0.0000 0.0000
Pr 2.9926 1.7790 0.8937
Pr 5.9852 3.6422 1.7874
Nd 2.3380 3.6151 6.7478
Nd 5.3306 1.8061 7.6415
Y 3.5155 3.6191 10.1023
Y 3.5054 0.0000 10.1038
Y 0.5229 1.8020 9.2086
Y 1.1707 0.0000 3.3918
Y 4.1532 1.8020 4.2869
Y 7.1458 3.6191 5.1807

=====

(3)
! PBE-GGA Pr5Nd3Y4, optimized geometry; values from VASP
! Excess energy over the best structure of this formula in the dataset   0.192 eV per atom
! Formation energy   19.62 kJ per mole of atoms
! Theoretical density   5.85 g cm⁻³
&SYSTEM
  ibrav = 0, nat = 12, ntyp = 3
/
ATOMIC_SPECIES
Pr 140.91 Pr.upf
Nd 144.24 Nd.upf
Y 88.91 Y.upf
CELL_PARAMETERS angstrom
-5.2895 0.0044 3.0069
-0.3817 -6.8135 5.4943
-0.2721 8.0623 5.6656
ATOMIC_POSITIONS angstrom
Pr -3.8772 -0.0414 11.6472
Pr -2.9716 0.6266 7.0834
Pr -1.3179 -2.2153 3.8408
Pr -4.6254 3.4685 10.3261
Pr -2.0660 1.2946 2.5197
Nd -3.0928 -2.5080 6.8748
Nd -0.3269 0.6244 5.5800
Nd -2.8504 3.7612 7.2921
Y -4.6449 -1.0283 4.1424
Y -1.0638 4.7045 4.2778
Y -4.8795 -3.4514 9.8891
Y -1.2984 2.2814 10.0245

=====

(4)
! PBE-GGA PrNdY2, optimized geometry; values from VASP
! Excess energy over the best structure of this formula in the dataset   0.008 eV per atom
! Formation energy   1.52 kJ per mole of atoms
! Theoretical density   5.66 g cm⁻³
&SYSTEM
  ibrav = 0, nat = 4, ntyp = 3
/
ATOMIC_SPECIES
Pr 140.91 Pr.upf
Nd 144.24 Nd.upf
Y 88.91 Y.upf
CELL_PARAMETERS angstrom
3.6489 0.0000 0.0000
1.8244 3.1600 0.0000
1.8244 1.0533 11.7853
ATOMIC_POSITIONS angstrom
Pr 3.6489 2.1067 5.8759
Nd 3.6489 2.1067 0.0054
Y 1.8244 1.0533 8.8717
Y 1.8244 1.0533 2.9249

=====

(5)
! PBE-GGA Pr4Nd2Y3, optimized geometry; values from VASP
! Excess energy over the best structure of this formula in the dataset   0.064 eV per atom
! Formation energy   7.52 kJ per mole of atoms
! Theoretical density   5.97 g cm⁻³
&SYSTEM
  ibrav = 0, nat = 18, ntyp = 3
/
ATOMIC_SPECIES
Pr 140.91 Pr.upf
Nd 144.24 Nd.upf
Y 88.91 Y.upf
CELL_PARAMETERS angstrom
5.9012 1.8031 1.2910
2.1309 11.2982 0.7351
2.1309 4.3363 10.4588
ATOMIC_POSITIONS angstrom
Pr 4.8019 11.8421 3.1802
Pr 2.4105 9.7097 1.6535
Pr 5.3611 5.5955 9.3046
Pr 7.7525 7.7278 10.8313
Pr 1.6963 3.6301 4.6522
Pr 5.5161 10.9623 9.9019
Pr 8.4667 13.8075 7.8326
Pr 4.6469 6.4753 2.5830
Nd 4.0910 5.7665 6.1707
Nd 3.1214 8.8364 8.3686
Nd 6.0720 11.6711 6.3141
Nd 7.0416 8.6012 4.1162
Y 5.1248 3.2404 3.8389
Y 7.9888 13.6609 11.2997
Y 5.0382 14.1972 8.6459
Y 2.1742 3.7767 1.1851
Y 3.6062 8.9826 4.9216
Y 6.5568 8.4550 7.5632

=====

(6)
! PBE-GGA PrNd4Y15, optimized geometry; values from VASP
! Formation energy   1.94 kJ per mole of atoms
! Theoretical density   5.17 g cm⁻³
&SYSTEM
  ibrav = 0, nat = 20, ntyp = 3
/
ATOMIC_SPECIES
Pr 140.91 Pr.upf
Nd 144.24 Nd.upf
Y 88.91 Y.upf
CELL_PARAMETERS angstrom
-1.6665 3.2601 -3.5478
-0.0494 -3.7654 -3.4368
-23.9775 -5.4198 6.2829
ATOMIC_POSITIONS angstrom
Pr 0.0000 0.0000 0.0000
Nd -4.8000 -1.0850 1.2578
Nd -9.5928 -2.1683 2.5137
Nd -14.3846 -3.2514 3.7693
Nd -19.1775 -4.3348 5.0252
Y -0.8580 -0.2527 -3.4923
Y -5.6599 -1.3381 -2.2341
Y -10.4508 -2.4210 -0.9787
Y -15.2427 -3.5041 0.2770
Y -20.0336 -4.5871 1.5323
Y -3.2400 1.0860 -1.1433
Y -8.0300 0.0033 0.1119
Y -12.8220 -1.0798 1.3675
Y -17.6140 -2.1630 2.6232
Y -22.4041 -3.2457 3.8784
Y -2.4314 -2.4267 -1.0878
Y -7.2214 -3.5094 0.1674
Y -12.0135 -4.5926 1.4231
Y -16.8055 -5.6758 2.6787
Y -21.5955 -6.7585 3.9339

=====

(7)
! PBE-GGA Pr4NdY7, optimized geometry; values from VASP
! Excess energy over the best structure of this formula in the dataset   0.173 eV per atom
! Formation energy   24.25 kJ per mole of atoms
! Theoretical density   5.25 g cm⁻³
&SYSTEM
  ibrav = 0, nat = 12, ntyp = 3
/
ATOMIC_SPECIES
Pr 140.91 Pr.upf
Nd 144.24 Nd.upf
Y 88.91 Y.upf
CELL_PARAMETERS angstrom
5.9636 0.0000 0.0000
2.9818 11.5173 -0.2724
2.9818 0.2413 6.1244
ATOMIC_POSITIONS angstrom
Pr 5.9636 2.6937 3.0139
Pr 5.9636 9.0650 2.8381
Pr 8.9453 7.8405 4.5642
Pr 2.9818 3.9181 1.2878
Nd 0.0000 0.0000 0.0000
Y 8.9453 10.7464 2.7960
Y 2.9818 1.0122 3.0560
Y 2.9818 7.9692 0.8541
Y 8.9453 3.7894 4.9979
Y 5.9636 5.8864 4.5859
Y 2.9818 0.0000 0.0000
Y 5.9636 5.8722 1.2661

=====

(8)
! PBE-GGA Pr7NdY3, optimized geometry; values from VASP
! Excess energy over the best structure of this formula in the dataset   0.037 eV per atom
! Formation energy   20.98 kJ per mole of atoms
! Theoretical density   5.80 g cm⁻³
&SYSTEM
  ibrav = 0, nat = 11, ntyp = 3
/
ATOMIC_SPECIES
Pr 140.91 Pr.upf
Nd 144.24 Nd.upf
Y 88.91 Y.upf
CELL_PARAMETERS angstrom
-4.9769 -1.5894 -3.8982
-3.8008 -1.9094 6.6485
-2.8634 7.1408 1.7615
ATOMIC_POSITIONS angstrom
Pr -2.6450 0.8967 1.1533
Pr -6.4636 1.9324 6.1557
Pr -5.5054 -1.4555 0.0653
Pr -6.1357 5.0976 4.4466
Pr -3.3321 2.6157 4.2050
Pr -5.1775 1.7097 -1.6439
Pr -8.9961 2.7453 3.3585
Nd -5.8206 1.8210 2.2559
Y -8.6195 -1.9714 1.9256
Y -2.4885 -0.7947 -1.9491
Y -3.0216 5.6135 2.5863

=====

(9)
! PBE-GGA Pr7NdY2, optimized geometry; values from VASP
! Excess energy over the best structure of this formula in the dataset   0.443 eV per atom
! Formation energy   60.98 kJ per mole of atoms
! Theoretical density   5.07 g cm⁻³
&SYSTEM
  ibrav = 0, nat = 10, ntyp = 3
/
ATOMIC_SPECIES
Pr 140.91 Pr.upf
Nd 144.24 Nd.upf
Y 88.91 Y.upf
CELL_PARAMETERS angstrom
-1.5078 -1.2914 5.3353
8.3226 -4.6601 1.2241
-1.5006 9.3205 1.8320
ATOMIC_POSITIONS angstrom
Pr 6.2182 -1.6651 1.3543
Pr 0.6038 6.3255 1.7018
Pr -0.6289 1.7497 3.2828
Pr 5.9431 1.6193 5.1086
Pr 1.5644 -1.3720 3.1470
Pr 3.7497 4.7410 5.2443
Pr 2.6571 1.6845 4.1957
Nd 0.0000 0.0000 0.0000
Y 4.6906 -1.2097 4.0698
Y 0.6235 4.5787 4.3215

=====

(10)
! PBE-GGA Pr2NdY12, optimized geometry; values from VASP
! Formation energy   31.13 kJ per mole of atoms
! Theoretical density   4.66 g cm⁻³
&SYSTEM
  ibrav = 0, nat = 30, ntyp = 3
/
ATOMIC_SPECIES
Pr 140.91 Pr.upf
Nd 144.24 Nd.upf
Y 88.91 Y.upf
CELL_PARAMETERS angstrom
-5.5743 2.7828 -1.7880
-2.3440 -0.8513 5.9828
9.1101 22.6086 6.7862
ATOMIC_POSITIONS angstrom
Pr -0.2951 7.5759 0.9623
Pr 1.3200 5.7588 4.8477
Pr 5.4461 15.9985 7.9213
Pr 3.8310 17.8156 4.0359
Nd -2.7871 1.3914 -0.8940
Nd -1.1720 -0.4256 2.9914
Y 3.1875 18.7017 7.4210
Y 7.1467 17.7359 5.3236
Y 2.3268 21.1879 9.6592
Y 5.4251 19.9094 9.7590
Y 3.1010 7.6958 2.3100
Y -2.6181 2.8137 5.1074
Y -0.3046 14.7036 4.2996
Y -0.8581 8.6616 4.4074
Y 5.8571 20.7045 6.5302
Y -5.0941 4.3181 3.4192
Y 2.8639 13.4506 4.2203
Y -0.1187 11.6536 2.7960
Y 6.0091 14.9128 4.4762
Y 2.2871 10.1237 4.6633
Y -0.7061 2.8699 2.3534
Y -2.1976 11.6807 5.4965
Y -0.5697 13.8252 7.5819
Y 1.9635 4.8727 1.4626
Y 2.5988 12.5723 7.5026
Y 2.0500 15.8785 6.5736
Y 2.7589 21.9829 6.4304
Y -1.9957 5.8385 3.5600
Y 0.2082 10.1508 7.3639
Y -3.1821 4.3743 0.6652

=====

(11)
! PBE-GGA Pr2Nd5Y6, optimized geometry; values from VASP
! Formation energy   8.77 kJ per mole of atoms
! Theoretical density   5.69 g cm⁻³
&SYSTEM
  ibrav = 0, nat = 26, ntyp = 3
/
ATOMIC_SPECIES
Pr 140.91 Pr.upf
Nd 144.24 Nd.upf
Y 88.91 Y.upf
CELL_PARAMETERS angstrom
-1.0969 -3.3034 1.0398
7.2754 0.5354 9.3752
-15.1777 8.5928 11.2876
ATOMIC_POSITIONS angstrom
Pr -1.9202 2.6233 6.3083
Pr -5.9821 6.5049 14.3545
Pr 2.7717 2.2942 10.2118
Pr -10.6740 6.8340 10.4510
Nd -5.2161 2.3788 8.4004
Nd -3.7830 3.4460 13.3022
Nd 4.5071 -0.7988 8.5622
Nd -13.5063 6.6236 13.1404
Nd -0.4760 1.0428 9.1561
Nd -8.5232 4.7820 12.5465
Nd -3.2955 0.3119 3.8600
Nd -5.7037 5.5130 17.8426
Nd 3.0893 -1.3840 5.2075
Nd -8.1373 2.6447 6.1637
Y -4.9924 3.1908 4.8703
Y -2.9099 5.9374 15.7924
Y 2.1804 1.4571 6.9289
Y -10.0827 7.6711 13.7339
Y -0.1941 -0.3621 4.9905
Y -8.8051 6.1869 16.7121
Y -0.1951 1.9657 12.3842
Y -8.8041 3.8592 9.3185
Y -2.3321 3.9212 9.9968
Y -5.5703 5.2070 10.6660
Y -0.7634 0.7059 1.4373
Y -7.1389 8.4223 19.2255

=====

(12)
! PBE-GGA Pr5Nd12Y, optimized geometry; values from VASP
! Formation energy   1.12 kJ per mole of atoms
! Theoretical density   6.57 g cm⁻³
&SYSTEM
  ibrav = 0, nat = 18, ntyp = 3
/
ATOMIC_SPECIES
Pr 140.91 Pr.upf
Nd 144.24 Nd.upf
Y 88.91 Y.upf
CELL_PARAMETERS angstrom
-14.1915 -2.0571 -6.2702
-9.2528 -5.1810 3.1203
-1.6605 4.3641 2.3243
ATOMIC_POSITIONS angstrom
Pr -7.9260 1.1534 -1.9729
Pr -9.3671 -1.6213 2.2073
Pr -15.7377 -1.2528 -3.0328
Pr -15.6284 -4.8228 -2.1040
Pr -7.8160 -2.4154 -1.0458
Nd -21.9169 -4.7144 -0.9462
Nd -3.1880 1.8403 0.1206
Nd -20.3890 -2.1906 1.2579
Nd -4.7159 -0.6835 -2.0834
Nd -10.8991 -4.1435 -0.0027
Nd -22.0252 -1.1516 -1.8605
Nd -3.0797 -1.7225 1.0350
Nd -14.2058 1.2694 -0.8229
Nd -11.0216 -0.5759 -0.9364
Nd -18.8354 -2.9867 -1.9893
Nd -6.2695 0.1126 1.1637
Nd -14.0833 -2.2982 0.1109
Y -0.0001 0.0000 0.0000

=====

(13)
! PBE-GGA Pr5Nd3Y4, optimized geometry; values from VASP
! Excess energy over the best structure of this formula in the dataset   0.000 eV per atom
! Formation energy   1.10 kJ per mole of atoms
! Theoretical density   5.96 g cm⁻³
&SYSTEM
  ibrav = 0, nat = 12, ntyp = 3
/
ATOMIC_SPECIES
Pr 140.91 Pr.upf
Nd 144.24 Nd.upf
Y 88.91 Y.upf
CELL_PARAMETERS angstrom
7.2050 1.0999 0.6111
-2.3021 6.5169 -6.8022
1.4372 -3.9452 12.5377
ATOMIC_POSITIONS angstrom
Pr 2.0514 1.4273 6.1123
Pr 4.3211 -1.4227 6.5744
Pr 5.7021 0.1412 9.5835
Pr 0.6381 3.5303 -3.2370
Pr 4.2888 2.2442 0.2342
Nd 4.2966 0.4321 3.4000
Nd 0.7186 -1.9726 6.2688
Nd 2.0436 3.2394 2.9465
Y 5.6615 3.7951 3.2625
Y 5.6764 1.9954 6.4133
Y 0.6638 1.6761 -0.0667
Y 0.6787 -0.1236 3.0840

=====

(14)
! PBE-GGA Pr4Nd2Y5, optimized geometry; values from VASP
! Excess energy over the best structure of this formula in the dataset   0.000 eV per atom
! Formation energy   9.13 kJ per mole of atoms
! Theoretical density   5.69 g cm⁻³
&SYSTEM
  ibrav = 0, nat = 11, ntyp = 3
/
ATOMIC_SPECIES
Pr 140.91 Pr.upf
Nd 144.24 Nd.upf
Y 88.91 Y.upf
CELL_PARAMETERS angstrom
-5.9078 0.4781 -0.3702
0.1949 -2.2699 -6.0417
1.9708 -9.1599 4.3535
ATOMIC_POSITIONS angstrom
Pr -0.4244 -7.5996 -3.0417
Pr -3.7236 -9.7080 -0.7483
Pr -3.3177 -3.3521 0.9833
Pr -0.0186 -1.2437 -1.3101
Nd -0.7018 -8.2143 0.5914
Nd -3.0403 -2.7375 -2.6498
Y -3.3939 -6.2157 -1.4986
Y -0.3482 -4.7360 -0.5598
Y -3.6482 -6.6704 1.9714
Y -2.9539 0.2390 -0.1851
Y -0.0940 -4.2814 -4.0298

=====

(15)
! PBE-GGA PrNd2Y2, optimized geometry; values from VASP
! Excess energy over the best structure of this formula in the dataset   0.000 eV per atom
! Formation energy   8.14 kJ per mole of atoms
! Theoretical density   5.79 g cm⁻³
&SYSTEM
  ibrav = 0, nat = 10, ntyp = 3
/
ATOMIC_SPECIES
Pr 140.91 Pr.upf
Nd 144.24 Nd.upf
Y 88.91 Y.upf
CELL_PARAMETERS angstrom
3.8796 0.0000 0.0000
0.0000 9.4778 0.0000
0.0000 0.0000 9.4778
ATOMIC_POSITIONS angstrom
Pr 0.0000 0.0000 0.0000
Pr 0.0000 4.7389 4.7389
Nd 0.0000 3.5221 8.2610
Nd 0.0000 8.2610 5.9557
Nd 0.0000 5.9557 1.2168
Nd 0.0000 1.2168 3.5221
Y 1.9398 1.6056 6.3445
Y 1.9398 6.3445 7.8722
Y 1.9398 7.8722 3.1333
Y 1.9398 3.1333 1.6056

=====

(16)
! PBE-GGA PrNd7Y12, optimized geometry; values from VASP
! Excess energy over the best structure of this formula in the dataset   0.000 eV per atom
! Formation energy   25.84 kJ per mole of atoms
! Theoretical density   5.42 g cm⁻³
&SYSTEM
  ibrav = 0, nat = 20, ntyp = 3
/
ATOMIC_SPECIES
Pr 140.91 Pr.upf
Nd 144.24 Nd.upf
Y 88.91 Y.upf
CELL_PARAMETERS angstrom
-1.9967 1.3536 8.4912
-1.1120 -8.7515 0.3080
8.7314 -0.2638 1.2697
ATOMIC_POSITIONS angstrom
Pr 0.0000 0.0000 0.0000
Nd 6.0200 -4.6551 9.2046
Nd 0.0175 0.2887 3.1403
Nd 2.9761 -0.8198 0.6446
Nd 2.8114 -3.8308 5.0345
Nd 2.6466 -6.8419 9.4244
Nd 5.6052 -7.9504 6.9287
Nd -0.3973 -3.0066 0.8644
Y 4.0526 -1.2741 7.8594
Y -0.2287 -1.8149 6.6934
Y 2.5073 -0.7497 4.6693
Y 2.1695 -4.0915 8.0741
Y 5.6993 -1.3915 3.7053
Y 5.7004 -3.9654 6.1983
Y -0.0777 -3.6963 3.8707
Y -0.0766 -6.2702 6.3636
Y 3.4532 -3.5702 1.9949
Y 3.1154 -6.9120 5.3997
Y 5.8514 -5.8468 3.3756
Y 1.5701 -6.3876 2.2096

=====

(17)
! PBE-GGA Pr3Nd3Y5, optimized geometry; values from VASP
! Formation energy   72.65 kJ per mole of atoms
! Theoretical density   4.72 g cm⁻³
&SYSTEM
  ibrav = 0, nat = 11, ntyp = 3
/
ATOMIC_SPECIES
Pr 140.91 Pr.upf
Nd 144.24 Nd.upf
Y 88.91 Y.upf
CELL_PARAMETERS angstrom
-3.6809 2.3195 3.5018
-0.1440 -8.1708 5.2608
6.4010 7.0100 2.0850
ATOMIC_POSITIONS angstrom
Pr 2.0981 0.4291 6.3749
Pr 0.5313 3.7572 2.5235
Pr -1.8938 -1.8678 3.7002
Nd 2.9578 -0.5488 3.4725
Nd -0.0759 -4.3083 2.7739
Nd 3.3751 3.6962 1.0994
Y 2.3789 3.1095 4.8945
Y 0.1972 -1.9508 5.9532
Y -0.1988 0.8552 3.6783
Y 2.8811 6.3305 3.2889
Y -1.9466 -4.8672 5.6314

=====

(18)
! PBE-GGA Pr12Nd6Y, optimized geometry; values from VASP
! Excess energy over the best structure of this formula in the dataset   0.000 eV per atom
! Formation energy   11.70 kJ per mole of atoms
! Theoretical density   6.37 g cm⁻³
&SYSTEM
  ibrav = 0, nat = 19, ntyp = 3
/
ATOMIC_SPECIES
Pr 140.91 Pr.upf
Nd 144.24 Nd.upf
Y 88.91 Y.upf
CELL_PARAMETERS angstrom
-2.8549 8.3605 -0.2406
-3.7779 -1.3903 -7.8677
-7.5684 -2.3456 3.9146
ATOMIC_POSITIONS angstrom
Pr -7.5382 4.7649 -2.6958
Pr -8.2386 1.2922 -4.1535
Pr -9.0778 2.0368 -0.4906
Pr -6.6630 -0.1403 -1.4980
Pr -5.9626 3.3325 -0.0403
Pr -5.1234 2.5878 -3.7032
Pr -3.5053 -0.9651 -0.0992
Pr -12.1573 3.5659 -1.3778
Pr -11.6542 2.0817 -4.7181
Pr -10.6959 5.5898 -4.0946
Pr -2.0439 1.0588 -2.8160
Pr -2.5470 2.5429 0.5243
Nd -7.7920 4.2105 -6.1142
Nd -3.7160 5.2627 -1.8526
Nd -4.9015 -0.7834 -4.5054
Nd -6.4092 0.4141 1.9204
Nd -10.4852 -0.6381 -2.3412
Nd -9.2997 5.4080 0.3116
Y 0.0000 0.0000 0.0000

=====

| no. | density of states at the Fermi level (states/eV/f.u.) |
| --- | --- |
| 1 | 29.745 |
| 2 | 16.237 |
| 3 | 19.769 |
| 4 | 5.908 |
| 5 | 12.777 |
| 6 | 29.704 |
| 7 | 20.982 |
| 8 | 15.774 |
| 9 | 16.244 |
| 10 | 26.325 |
| 11 | 17.636 |
| 12 | 28.974 |
| 13 | 18.084 |
| 14 | 20.716 |
| 15 | 5.466 |
| 16 | 19.188 |
| 17 | 18.696 |
| 18 | 30.260 |